## Ca2Ga5Cu2Ni (PBE)

Data for a relaxed Ca2Ga5Cu2Ni crystal.

Unit cell a=3.8630 b=9.5677 c=9.5677 alpha=90.00 beta=90.00 gamma=90.00
Element x y z (fractional)
Ni (0.0000, 0.0000, 0.0000)
Ni (0.0000, 0.5000, 0.5000)
Cu (0.0000, 0.8862, 0.3862)
Cu (0.0000, 0.3862, 0.1138)
Cu (0.0000, 0.6138, 0.8862)
Cu (0.0000, 0.1138, 0.6138)
Ga (0.5000, 0.1920, 0.0513)
Ga (0.5000, 0.4487, 0.3080)
Ga (0.5000, 0.3080, 0.5513)
Ga (0.5000, 0.0000, 0.5000)
Ga (0.5000, 0.8080, 0.9487)
Ga (0.5000, 0.9487, 0.1920)
Ga (0.5000, 0.5513, 0.6920)
Ga (0.5000, 0.0513, 0.8080)
Ga (0.5000, 0.5000, 0.0000)
Ga (0.5000, 0.6920, 0.4487)
Ca (0.0000, 0.3167, 0.8167)
Ca (0.0000, 0.8167, 0.6833)
Ca (0.0000, 0.1833, 0.3167)
Ca (0.0000, 0.6833, 0.1833)

Summary:
Calculated volume = 176.8 Å³/f.u.
Size of the total moment = 0.0 Bohr magnetons per cell
Density of states at the Fermi level = 8.586 states/eV/cell
Total energy = -3.57 eV/atom